SiHgSbTe2 after structural relaxation, computed with PBE-GGA.

Cell lengths 5.5820, 5.5820, 5.5021 Å; angles 90.00, 90.00, 90.00 degrees
Closest atoms and distances in Å follow each position.
Positions (direct):
Te 0.0000 0.5000 0.0000  2 Hg 2.79
Te 0.5000 0.0000 0.0000  2 Hg 2.79
Sb 0.0000 0.0000 0.5000  2 Hg 2.75
Si 0.5000 0.5000 0.5000  8 Te 3.92, 4 Sb 3.95
Hg 0.0000 0.0000 0.0000  2 Sb 2.75, 4 Te 2.79

space-group type = No. 123
magnetic moment = 0.000 μB per atom
formation energy (no corrections) = 5.198 eV/f.u.